1.
{
  "formula": "RbSiP2S",
  "functional": "PBE",
  "state": "optimized geometry",
  "lattice_angstrom": [[5.383, 0.000, 0.000], [0.000, 5.383, 0.000], [0.000, 0.000, 5.445]],
  "species": ["P", "P", "S", "Si", "Rb"],
  "fractional_positions": [[0.000, 0.500, 0.000], [0.500, 0.000, 0.000], [0.000, 0.000, 0.500], [0.500, 0.500, 0.500], [0.000, 0.000, 0.000]],
  "dos_at_fermi_per_ev_atom": 1.210,
  "energy_ev_per_cell": -10.7,
  "formation_energy_uncorrected_ev_per_atom": 2.123,
  "polymorph_energy_ev_per_atom": 1.8538,
  "sg": "P4/mmm (123)"
}


2.
{
  "formula": "K2ErZrTe4",
  "functional": "PBE",
  "state": "optimized geometry",
  "lattice_angstrom": [[-2.549, -3.458, 0.178], [5.795, -4.373, -1.983], [0.070, 0.394, 8.666]],
  "species": ["K", "K", "Er", "Zr", "Te", "Te", "Te", "Te"],
  "fractional_positions": [[0.500, 0.000, 0.500], [0.000, 0.500, 0.500], [0.000, 0.000, 0.000], [0.500, 0.500, 0.000], [0.500, 0.244, 0.208], [0.500, 0.756, 0.792], [0.000, 0.273, 0.796], [0.000, 0.727, 0.204]],
  "dos_at_fermi_per_ev_atom": 0.416,
  "energy_ev_per_cell": -37.1,
  "formation_energy_uncorrected_ev_per_atom": -1.153,
  "sg": "P2/m (10)"
}


3.
{
  "formula": "Y3As4Pd4",
  "functional": "PBE",
  "state": "optimized geometry",
  "lattice_angstrom": [[-3.450, -0.849, -2.236], [-0.760, -6.177, 3.518], [-1.819, 6.745, 4.186]],
  "species": ["Y", "Y", "Y", "As", "As", "As", "As", "Pd", "Pd", "Pd", "Pd"],
  "fractional_positions": [[0.128, 0.128, 0.256], [0.872, 0.872, 0.744], [0.000, 0.500, 0.000], [0.216, 0.716, 0.432], [0.784, 0.284, 0.568], [0.500, 0.802, 0.000], [0.500, 0.198, 0.000], [0.328, 0.128, 0.655], [0.672, 0.472, 0.345], [0.672, 0.872, 0.345], [0.328, 0.528, 0.655]],
  "dos_at_fermi_per_ev_atom": 0.310,
  "delta_e_f_ev_per_atom": -1.033,
  "energy_ev_per_cell": -70.1,
  "sg": "Immm (71)"
}


4.
{
  "formula": "SrPuBr2",
  "functional": "PBE",
  "state": "optimized geometry",
  "lattice_angstrom": [[4.020, 0.000, 0.000], [2.010, 3.481, 0.000], [2.010, 1.160, 10.338]],
  "species": ["Sr", "Br", "Br", "Pu"],
  "fractional_positions": [[0.000, 0.000, 0.000], [0.103, 0.103, 0.691], [0.897, 0.897, 0.309], [0.500, 0.500, 0.500]],
  "dos_at_fermi_per_ev_atom": 1.835,
  "energy_ev_per_cell": -23.5,
  "formation_energy_uncorrected_ev_per_atom": -1.034,
  "sg": "R-3m (166)"
}


5.
{
  "formula": "YI2O2",
  "functional": "PBE",
  "state": "optimized geometry",
  "lattice_angstrom": [[-1.419, 3.931, -1.417], [-1.091, -1.793, -3.881], [-6.425, -1.430, 2.467]],
  "species": ["I", "I", "Y", "O", "O"],
  "fractional_positions": [[0.500, 0.500, 0.500], [0.000, 0.000, 0.500], [0.000, 0.000, 0.000], [0.000, 0.500, 0.000], [0.500, 0.000, 0.000]],
  "dos_at_fermi_per_ev_atom": 1.092,
  "energy_ev_per_cell": -24.7,
  "formation_energy_uncorrected_ev_per_atom": -1.051,
  "polymorph_energy_ev_per_atom": 0.0000,
  "sg": "P4/mmm (123)"
}


6.
{
  "formula": "Co2Rh7",
  "functional": "PBE",
  "state": "optimized geometry",
  "lattice_angstrom": [[4.652, 0.000, 0.000], [-2.326, 4.029, 0.000], [0.000, 0.000, 6.534]],
  "species": ["Co", "Co", "Rh", "Rh", "Rh", "Rh", "Rh", "Rh", "Rh"],
  "fractional_positions": [[0.333, 0.667, 0.000], [0.667, 0.333, 0.000], [0.000, 0.000, 0.000], [0.664, 0.000, 0.327], [0.000, 0.664, 0.327], [0.336, 0.336, 0.327], [0.000, 0.336, 0.673], [0.336, 0.000, 0.673], [0.664, 0.664, 0.673]],
  "dos_at_fermi_per_ev_atom": 1.597,
  "delta_e_f_ev_per_atom": 0.054,
  "energy_ev_per_cell": -65.2,
  "sg": "P-31m (162)"
}